! Mg3Tc2 (PBEsol, optimized geometry); values from VASP
&SYSTEM
  ibrav = 0, nat = 5, ntyp = 2
/
ATOMIC_SPECIES
Tc 98.00 Tc.upf
Mg 24.30 Mg.upf
CELL_PARAMETERS angstrom
4.472 0.000 0.000
-2.236 3.873 0.000
0.000 0.000 5.498
ATOMIC_POSITIONS angstrom
Tc 0.000 2.582 5.105
Tc 2.236 1.291 0.394
Mg 0.000 0.000 0.000
Mg 2.236 1.291 3.341
Mg 0.000 2.582 2.157
! Space group   P-3m1
! ΔE_f   421 meV per atom
! E above lowest polymorph   394 meV per atom
! Calculated density   4.69 g/cm³

***

! SbRuI2F (PBEsol, optimized geometry); values from VASP
&SYSTEM
  ibrav = 0, nat = 5, ntyp = 4
/
ATOMIC_SPECIES
I 126.90 I.upf
Sb 121.76 Sb.upf
F 19.00 F.upf
Ru 101.07 Ru.upf
CELL_PARAMETERS angstrom
-2.369 3.346 0.541
-2.973 -1.378 -4.499
-3.460 -2.966 3.195
ATOMIC_POSITIONS angstrom
I -1.730 -1.483 1.597
I -1.486 -0.689 -2.250
Sb -1.184 1.673 0.270
F 0.000 0.000 0.000
Ru -4.401 -0.499 -0.382
! Space group   P4/mmm
! Calculated density   6.42 g/cm³
! Energy relative to the elements, uncorrected   0.60 eV/atom

***

! Y2Zr (PBEsol, optimized geometry); values from VASP
&SYSTEM
  ibrav = 0, nat = 6, ntyp = 2
/
ATOMIC_SPECIES
Y 88.91 Y.upf
Zr 91.22 Zr.upf
CELL_PARAMETERS angstrom
3.413 0.000 0.000
0.000 5.411 0.000
-1.707 0.000 8.894
ATOMIC_POSITIONS angstrom
Y 1.707 1.353 0.967
Y 0.000 1.353 3.985
Y 0.000 4.058 7.927
Y 1.707 4.058 4.909
Zr 0.000 4.058 1.998
Zr 1.707 1.353 6.896
! Space group   Cmcm
! ΔE_f   103 meV per atom
! E above lowest polymorph   18 meV per atom
! Calculated density   5.44 g/cm³

***

! Sb2RuS (PBEsol, optimized geometry); values from VASP
&SYSTEM
  ibrav = 0, nat = 8, ntyp = 3
/
ATOMIC_SPECIES
Ru 101.07 Ru.upf
Sb 121.76 Sb.upf
S 32.06 S.upf
CELL_PARAMETERS angstrom
-3.447 -5.085 -0.210
0.969 -0.905 6.003
-3.303 6.025 -1.707
ATOMIC_POSITIONS angstrom
Ru -1.787 1.062 3.596
Ru 0.000 0.000 0.000
Sb -3.587 -3.443 1.634
Sb -1.163 -1.033 4.753
Sb -2.817 3.798 -0.744
Sb -3.996 0.746 2.529
S -3.994 -1.028 0.490
S -1.239 -2.995 2.896
! Space group   I-42d
! Calculated density   5.92 g/cm³
! Energy relative to the elements, uncorrected   0.31 eV/atom

***

! Sc2TaCd (PBEsol, optimized geometry); values from VASP
&SYSTEM
  ibrav = 0, nat = 4, ntyp = 3
/
ATOMIC_SPECIES
Sc 44.96 Sc.upf
Cd 112.41 Cd.upf
Ta 180.95 Ta.upf
CELL_PARAMETERS angstrom
3.085 0.000 0.000
0.000 3.085 0.000
0.000 0.000 8.482
ATOMIC_POSITIONS angstrom
Sc 0.000 0.000 2.069
Sc 0.000 0.000 6.413
Cd 1.543 1.543 4.241
Ta 1.543 1.543 0.000
! Space group   P4/mmm
! ΔE_f   -76 meV per atom
! Calculated density   7.88 g/cm³

***

! KSr2H2 (PBEsol, optimized geometry); values from VASP
&SYSTEM
  ibrav = 0, nat = 5, ntyp = 3
/
ATOMIC_SPECIES
Sr 87.62 Sr.upf
H 1.01 H.upf
K 39.10 K.upf
CELL_PARAMETERS angstrom
4.092 0.000 0.000
0.000 4.092 0.000
-2.046 -2.046 9.801
ATOMIC_POSITIONS angstrom
Sr 2.046 2.046 3.585
Sr 0.000 0.000 6.215
H 0.000 2.046 4.900
H 2.046 0.000 4.900
K 0.000 0.000 0.000
! Space group   I4/mmm
! E above lowest polymorph   0 meV per atom
! Calculated density   2.19 g/cm³